## U2CuPt9 (GGA-PBE)

Data for crystalline U2CuPt9 at its relaxed geometry.

a = 4.1304 Å, b = 4.1304 Å, c = 11.9173 Å
α = 90.00°, β = 90.00°, γ = 90.00°
Last column: nearest neighbours and their distance in Å.
Space group P4/mmm (No. 123)
Unique sites:
U  0.0000  0.0000  0.1795  12 Pt 2.83-2.97
Cu  0.0000  0.0000  0.5000  12 Pt 2.79-2.92
Pt  0.0000  0.5000  0.0000  8 Pt 2.90-2.92, 4 U 2.97
Pt  0.0000  0.5000  0.3421  2 Cu 2.79, 8 Pt 2.79-2.92, 2 U 2.83
Pt  0.5000  0.5000  0.1712  8 Pt 2.90, 4 U 2.92
Pt  0.5000  0.5000  0.5000  8 Pt 2.79, 4 Cu 2.92

Results
As for the density of states at the Fermi level: 1.25 states/eV/atom. Its volume is 203.3 Å³ per cell. The total magnetization is 0.170 μB/atom. Its formation energy is -12.79 kcal/mol of atoms. The value obtained for the electronic total energy is -87.70 eV/f.u.